(1)
## TaAl3O (PBE)

Data for a relaxed structure of TaAl3O.

Structure (POSCAR):
```
TaAl3O
1.0
-2.3559 2.0662 2.6430
-2.0668 -3.4378 0.8452
2.6424 -0.8469 3.0174
Ta Al O
1 3 1
Cartesian
-0.8901 -1.1092 3.2528
-1.1779 1.0331 1.3215
1.3212 -0.4234 1.5087
-1.0334 -1.7189 0.4226
0.0000 0.0000 0.0000
```

## Properties
The value obtained for the offset from the most stable computed form is 0.0 meV/atom. The symmetry is Pm-3m. As for the magnetic moment: 0.0 μB per formula unit. For the density, the calculation gives 6.7 g/cm³. The value obtained for the formation energy (no corrections) is -0.59 eV per atom.

=====

(2)
## Ta2AlO (PBE)

Data for a relaxed structure of Ta2AlO.

Structure (POSCAR):
```
Ta2AlO
1.0
-3.7101 -1.7229 1.5809
-3.7466 2.2667 -0.2396
-3.1672 -1.2832 -2.7486
Ta Al O
2 1 1
Cartesian
-2.6560 -0.1848 -0.3518
-7.9679 -0.5545 -1.0555
-5.3120 -0.3697 -0.7036
0.0000 0.0000 0.0000
```

## Properties
The value obtained for the offset from the most stable computed form is 287.7 meV/atom. The symmetry is Fm-3m. As for the magnetic moment: 0.0 μB per formula unit. For the density, the calculation gives 11.3 g/cm³. The value obtained for the formation energy (no corrections) is 0.18 eV per atom.